Material: ZrCoO
Method: DFT, PBE+U
State: relaxed

Geometry as POSCAR:
```
ZrCoO
1.0
-1.586 1.586 7.752
1.586 -1.586 7.752
1.586 1.586 -7.752
Zr Co O
2 2 2
Direct
0.156 0.156 0.000
0.844 0.844 0.000
0.000 0.500 0.500
0.500 0.000 0.500
0.304 0.304 0.000
0.696 0.696 0.000
```

Summary:
The density of states at the Fermi level is 0.8482 states/eV/atom. Its total magnetic moment is 1.67 μB/f.u. The value obtained for the electronic total energy is -45.200 eV for the cell shown. The volume comes out at 13.00 A^3/atom. For the distance to the lowest polymorph of the same formula, the calculation gives 113 meV per atom.